Entry 1:
Below is a geometry-optimized Y3MgPd12 structure, with properties calculated at the GGA-PBE level.

Computed properties:
Calculated volume (Å³ per cell): 274
Energy of formation from the pure elements (eV/atom): -0.746
DOS at the Fermi energy (states/eV/cell): 14.48

Lattice parameters (Å, degrees): 4.1022 4.1022 16.3116 90.00 90.00 90.00
Sites, in units of the cell vectors:
Pd: 0.5000 0.0000 0.3723
Pd: 0.0000 0.5000 0.6277
Pd: 0.5000 0.0000 0.1165
Pd: 0.5000 0.0000 0.8835
Pd: 0.5000 0.0000 0.6277
Pd: 0.5000 0.5000 0.7550
Pd: 0.0000 0.5000 0.8835
Pd: 0.5000 0.5000 0.5000
Pd: 0.5000 0.5000 0.0000
Pd: 0.5000 0.5000 0.2450
Pd: 0.0000 0.5000 0.1165
Pd: 0.0000 0.5000 0.3723
Y: 0.0000 0.0000 0.5000
Y: 0.0000 0.0000 0.2436
Y: 0.0000 0.0000 0.7564
Mg: 0.0000 0.0000 0.0000


Entry 2:
Below is a geometry-optimized YMgPd4 structure, with properties calculated at the GGA-PBE level.

Computed properties:
Calculated volume (Å³ per cell): 105
Energy of formation from the pure elements (eV/atom): -0.658
DOS at the Fermi energy (states/eV/cell): 2.08

Lattice parameters (Å, degrees): 3.7653 5.1340 6.7116 105.46 73.71 68.49
Sites, in units of the cell vectors:
Pd: 0.6474 0.0203 0.6848
Pd: 0.3526 0.9797 0.3152
Pd: 0.1864 0.4751 0.1521
Pd: 0.8136 0.5249 0.8479
Mg: 0.0000 0.0000 0.0000
Y: 0.5000 0.5000 0.5000